1.
An optimized crystal structure of SmEr4Mg2. Source: Alexandria via LeMat-Bulk, functional PBE.

**Offset from the most stable computed form**: 471 meV/atom
**Energy of formation from the pure elements**: 0.509 eV per atom
**Mass density**: 6.1 Mg/m³
**Uncorrected energy**: -22.6 eV per cell

Lattice parameters (Å, degrees): 5.167 5.167 10.707 76.04 76.04 60.00
Element x y z (fractional)
Er: 0.703 0.703 0.891
Er: 0.105 0.105 0.686
Mg: 0.400 0.400 0.801
Mg: 0.600 0.600 0.199
Sm: 0.500 0.500 0.500
Er: 0.895 0.895 0.314
Er: 0.297 0.297 0.109

2.
An optimized crystal structure of BeSbTe3. Source: Alexandria via LeMat-Bulk, functional PBE.

**Offset from the most stable computed form**: 717 meV/atom
**Mass density**: 4.6 Mg/m³
**Uncorrected energy**: -12.1 eV per cell

Lattice parameters (Å, degrees): 5.716 5.716 5.716 90.00 90.00 90.00
Element x y z (fractional)
Be: 0.500 0.500 0.500
Sb: 0.000 0.000 0.000
Te: 0.000 0.500 0.000
Te: 0.000 0.000 0.500
Te: 0.500 0.000 0.000

3.
An optimized crystal structure of AgSbOs2. Source: Alexandria via LeMat-Bulk, functional PBE.

**Mass density**: 14.1 Mg/m³
**Uncorrected energy**: -26.5 eV per cell

Lattice parameters (Å, degrees): 5.974 5.974 5.974 152.08 133.85 54.81
Element x y z (fractional)
Os: 0.963 0.963 0.000
Sb: 0.536 0.536 0.000
Os: 0.765 0.265 0.500
Ag: 0.236 0.736 0.500

4.
An optimized crystal structure of Na3As2S4. Source: Alexandria via LeMat-Bulk, functional PBE.

**Mass density**: 2.5 Mg/m³
**Uncorrected energy**: -70.1 eV per cell

Lattice parameters (Å, degrees): 5.698 9.095 9.095 95.24 85.75 85.75
Element x y z (fractional)
Na: 0.918 0.027 0.206
S: 0.079 0.754 0.005
Na: 0.750 0.298 0.702
As: 0.641 0.806 0.580
Na: 0.582 0.794 0.973
Na: 0.250 0.702 0.298
S: 0.521 0.580 0.743
S: 0.921 0.246 0.995
S: 0.479 0.420 0.257
Na: 0.418 0.206 0.027
S: 0.021 0.743 0.580
S: 0.579 0.005 0.754
As: 0.859 0.420 0.194
S: 0.979 0.257 0.420
S: 0.421 0.995 0.246
As: 0.141 0.580 0.806
As: 0.359 0.194 0.420
Na: 0.082 0.973 0.794

The lowest uncorrected energy belongs to which entry? Na3As2S4

Copy entry 3 word for word.
An optimized crystal structure of AgSbOs2. Source: Alexandria via LeMat-Bulk, functional PBE.

**Mass density**: 14.1 Mg/m³
**Uncorrected energy**: -26.5 eV per cell

Lattice parameters (Å, degrees): 5.974 5.974 5.974 152.08 133.85 54.81
Element x y z (fractional)
Os: 0.963 0.963 0.000
Sb: 0.536 0.536 0.000
Os: 0.765 0.265 0.500
Ag: 0.236 0.736 0.500

What is the uncorrected energy in the third record? -26.5 eV per cell

What is the mass density in the fourth record? 2.5 Mg/m³